VASP calculation (PBE) on a geometry-optimized HgPb3 structure.

## Properties
As for the space group: P2/m (10). The calculation puts the energy of formation at 0.010 eV/atom. As for the total energy: -11.39 eV/f.u. For the total magnetization, the calculation gives 0.00 Bohr magnetons per cell.

abc: 4.8345 3.5322 8.1629
angles: 59.44 90.00 90.00
Element x y z (fractional)
Pb: 0.5000 0.7084 0.7615
Pb: 0.0000 0.5000 0.5000
Pb: 0.5000 0.2916 0.2385
Hg: 0.0000 0.0000 0.0000

VASP calculation (PBE) on a geometry-optimized HgPb structure.

## Properties
As for the space group: C2/m (12). The calculation puts the energy of formation at 0.121 eV/atom. As for the total energy: -3.77 eV/f.u. For the total magnetization, the calculation gives 0.00 Bohr magnetons per cell.

abc: 4.8095 4.5632 7.1652
angles: 74.29 90.00 121.80
Element x y z (fractional)
Hg: 0.3654 0.7308 0.3749
Hg: 0.6346 0.2692 0.6251
Pb: 0.7893 0.5787 0.1326
Pb: 0.2107 0.4213 0.8674

VASP calculation (PBE) on a geometry-optimized Hg4Pb3 structure.

## Properties
As for the space group: I4/mmm (139). The calculation puts the energy of formation at 0.044 eV/atom. The excess energy over the best structure of this formula in the dataset comes out at 0.00 eV per formula unit. As for the total energy: -12.02 eV/f.u. For the total magnetization, the calculation gives 0.00 Bohr magnetons per cell.

abc: 13.2387 13.2387 13.2387
angles: 163.08 163.08 24.01
Element x y z (fractional)
Pb: 0.0000 0.0000 0.0000
Pb: 0.7094 0.7094 0.0000
Pb: 0.2906 0.2906 0.0000
Hg: 0.8634 0.8634 0.0000
Hg: 0.1366 0.1366 0.0000
Hg: 0.5730 0.5730 0.0000
Hg: 0.4270 0.4270 0.0000

VASP calculation (PBE) on a geometry-optimized Hg2Pb structure.

## Properties
As for the space group: I4/mcm (140). The calculation puts the energy of formation at 0.075 eV/atom. The excess energy over the best structure of this formula in the dataset comes out at 0.15 eV per formula unit. As for the total energy: -4.09 eV/f.u. For the total magnetization, the calculation gives 0.00 Bohr magnetons per cell.

abc: 6.1515 6.1515 6.1515
angles: 108.02 108.02 112.42
Element x y z (fractional)
Hg: 0.3530 0.1470 0.5000
Hg: 0.6470 0.8530 0.5000
Hg: 0.1470 0.6470 0.7941
Hg: 0.8530 0.3530 0.2059
Pb: 0.7500 0.7500 0.0000
Pb: 0.2500 0.2500 0.0000

VASP calculation (PBE) on a geometry-optimized Hg17Pb2 structure.

## Properties
As for the space group: R-3m (166). The calculation puts the energy of formation at 0.049 eV/atom. As for the total energy: -11.62 eV/f.u. For the total magnetization, the calculation gives 0.00 Bohr magnetons per cell.

abc: 9.2942 9.2942 9.2942
angles: 57.72 57.72 57.72
Element x y z (fractional)
Hg: 0.4358 0.4358 0.7943
Hg: 0.4358 0.7943 0.4358
Hg: 0.0834 0.0834 0.0834
Hg: 0.9166 0.9166 0.9166
Hg: 0.0000 0.0000 0.5000
Hg: 0.5000 0.0000 0.0000
Hg: 0.0000 0.5000 0.0000
Hg: 0.3245 0.6755 0.0000
Hg: 0.0000 0.3245 0.6755
Hg: 0.6755 0.0000 0.3245
Hg: 0.6755 0.3245 0.0000
Hg: 0.0000 0.6755 0.3245
Hg: 0.3245 0.0000 0.6755
Hg: 0.5642 0.2057 0.5642
Hg: 0.5642 0.5642 0.2057
Hg: 0.2057 0.5642 0.5642
Hg: 0.7943 0.4358 0.4358
Pb: 0.7351 0.7351 0.7351
Pb: 0.2649 0.2649 0.2649

VASP calculation (PBE) on a geometry-optimized Hg3Pb4 structure.

## Properties
As for the space group: I4/mmm (139). The calculation puts the energy of formation at 0.030 eV/atom. The excess energy over the best structure of this formula in the dataset comes out at 0.02 eV per formula unit. As for the total energy: -15.53 eV/f.u. For the total magnetization, the calculation gives 0.00 Bohr magnetons per cell.

abc: 15.6651 15.6651 15.6651
angles: 166.74 166.74 18.80
Element x y z (fractional)
Pb: 0.8534 0.8534 0.0000
Pb: 0.1466 0.1466 0.0000
Pb: 0.5695 0.5695 0.0000
Pb: 0.4305 0.4305 0.0000
Hg: 0.0000 0.0000 0.0000
Hg: 0.7190 0.7190 0.0000
Hg: 0.2810 0.2810 0.0000

VASP calculation (PBE) on a geometry-optimized HgPb structure.

## Properties
As for the space group: Fm-3m (225). The calculation puts the energy of formation at 0.101 eV/atom. As for the total energy: -3.81 eV/f.u. For the total magnetization, the calculation gives 0.00 Bohr magnetons per cell.

abc: 4.4186 4.4186 4.4186
angles: 60.00 60.00 60.00
Element x y z (fractional)
Pb: 0.0000 0.0000 0.0000
Hg: 0.5000 0.5000 0.5000

VASP calculation (PBE) on a geometry-optimized Hg3Pb structure.

## Properties
As for the space group: Pmmn (59). The calculation puts the energy of formation at 0.055 eV/atom. As for the total energy: -4.39 eV/f.u. For the total magnetization, the calculation gives 0.00 Bohr magnetons per cell.

abc: 4.9928 6.5506 6.6537
angles: 90.00 90.00 90.00
Element x y z (fractional)
Hg: 0.5000 0.6552 0.0000
Hg: 0.0000 0.3448 0.5000
Hg: 0.0000 0.8548 0.2408
Hg: 0.0000 0.8548 0.7592
Hg: 0.5000 0.1452 0.7408
Hg: 0.5000 0.1452 0.2592
Pb: 0.0000 0.3413 0.0000
Pb: 0.5000 0.6587 0.5000

VASP calculation (PBE) on a geometry-optimized Hg15Pb structure.

## Properties
As for the space group: P-6m2 (187). The calculation puts the energy of formation at 0.012 eV/atom. As for the total energy: -8.05 eV/f.u. For the total magnetization, the calculation gives 0.00 Bohr magnetons per cell.

abc: 6.7979 6.7979 10.9590
angles: 90.00 90.00 120.00
Element x y z (fractional)
Hg: 0.0000 0.0000 0.5000
Hg: 0.0008 0.5004 0.0000
Hg: 0.0032 0.5016 0.5000
Hg: 0.4996 0.9992 0.0000
Hg: 0.4984 0.9968 0.5000
Hg: 0.4996 0.5004 0.0000
Hg: 0.4984 0.5016 0.5000
Hg: 0.8320 0.1680 0.2559
Hg: 0.8320 0.1680 0.7441
Hg: 0.8320 0.6640 0.2559
Hg: 0.8320 0.6640 0.7441
Hg: 0.3360 0.1680 0.2559
Hg: 0.3360 0.1680 0.7441
Hg: 0.3333 0.6667 0.2501
Hg: 0.3333 0.6667 0.7499
Pb: 0.0000 0.0000 0.0000

VASP calculation (PBE) on a geometry-optimized HgPb3 structure.

## Properties
As for the space group: Pmmn (59). The calculation puts the energy of formation at 0.021 eV/atom. As for the total energy: -11.34 eV/f.u. For the total magnetization, the calculation gives 0.00 Bohr magnetons per cell.

abc: 6.1866 6.7288 17.2958
angles: 90.00 90.00 90.00
Element x y z (fractional)
Hg: 0.0328 0.2500 0.7500
Hg: 0.6540 0.2500 0.4174
Hg: 0.6540 0.2500 0.0826
Hg: 0.9672 0.7500 0.2500
Hg: 0.3460 0.7500 0.9174
Hg: 0.3460 0.7500 0.5826
Pb: 0.1556 0.0008 0.4165
Pb: 0.1556 0.0008 0.0835
Pb: 0.5263 0.0005 0.7500
Pb: 0.4737 0.9995 0.2500
Pb: 0.8444 0.9992 0.9165
Pb: 0.8444 0.9992 0.5835
Pb: 0.9722 0.2500 0.2500
Pb: 0.3441 0.2500 0.9180
Pb: 0.3441 0.2500 0.5820
Pb: 0.1556 0.4992 0.4165
Pb: 0.1556 0.4992 0.0835
Pb: 0.5263 0.4995 0.7500
Pb: 0.4737 0.5005 0.2500
Pb: 0.8444 0.5008 0.9165
Pb: 0.8444 0.5008 0.5835
Pb: 0.0278 0.7500 0.7500
Pb: 0.6559 0.7500 0.4180
Pb: 0.6559 0.7500 0.0820

VASP calculation (PBE) on a geometry-optimized Hg5Pb3 structure.

## Properties
As for the space group: P6_3/mcm (193). The calculation puts the energy of formation at 0.054 eV/atom. The excess energy over the best structure of this formula in the dataset comes out at 0.31 eV per formula unit. As for the total energy: -12.20 eV/f.u. For the total magnetization, the calculation gives 0.00 Bohr magnetons per cell.

abc: 9.3543 9.3543 6.0626
angles: 90.00 90.00 120.00
Element x y z (fractional)
Hg: 0.3333 0.6667 0.0000
Hg: 0.6667 0.3333 0.5000
Hg: 0.6667 0.3333 0.0000
Hg: 0.3333 0.6667 0.5000
Hg: 0.2130 0.0000 0.2500
Hg: 0.7870 0.0000 0.7500
Hg: 0.0000 0.2130 0.2500
Hg: 0.7870 0.7870 0.2500
Hg: 0.2130 0.2130 0.7500
Hg: 0.0000 0.7870 0.7500
Pb: 0.6033 0.0000 0.2500
Pb: 0.3967 0.0000 0.7500
Pb: 0.0000 0.6033 0.2500
Pb: 0.3967 0.3967 0.2500
Pb: 0.6033 0.6033 0.7500
Pb: 0.0000 0.3967 0.7500

VASP calculation (PBE) on a geometry-optimized HgPb structure.

## Properties
As for the space group: P4_2/mnm (136). The calculation puts the energy of formation at 0.089 eV/atom. As for the total energy: -3.83 eV/f.u. For the total magnetization, the calculation gives 0.00 Bohr magnetons per cell.

abc: 6.2008 6.2008 6.2560
angles: 90.00 90.00 90.00
Element x y z (fractional)
Hg: 0.2971 0.7029 0.0000
Hg: 0.7971 0.7971 0.5000
Hg: 0.2029 0.2029 0.5000
Hg: 0.7029 0.2971 0.0000
Pb: 0.2051 0.2051 0.0000
Pb: 0.7051 0.2949 0.5000
Pb: 0.2949 0.7051 0.5000
Pb: 0.7949 0.7949 0.0000

VASP calculation (PBE) on a geometry-optimized HgPb3 structure.

## Properties
As for the space group: C2/m (12). The calculation puts the energy of formation at 0.014 eV/atom. As for the total energy: -11.37 eV/f.u. For the total magnetization, the calculation gives 0.00 Bohr magnetons per cell.

abc: 6.1815 6.1815 5.8484
angles: 77.32 77.32 33.40
Element x y z (fractional)
Pb: 0.5000 0.5000 0.5000
Pb: 0.7456 0.7456 0.7568
Pb: 0.2544 0.2544 0.2432
Hg: 0.0000 0.0000 0.0000

VASP calculation (PBE) on a geometry-optimized HgPb3 structure.

## Properties
As for the space group: P-6m2 (187). The calculation puts the energy of formation at 0.033 eV/atom. As for the total energy: -11.30 eV/f.u. For the total magnetization, the calculation gives 0.00 Bohr magnetons per cell.

abc: 3.6066 3.6066 10.7333
angles: 90.00 90.00 120.00
Element x y z (fractional)
Pb: 0.0000 0.0000 0.5000
Pb: 0.6667 0.3333 0.2389
Pb: 0.6667 0.3333 0.7611
Hg: 0.0000 0.0000 0.0000

VASP calculation (PBE) on a geometry-optimized Hg2Pb structure.

## Properties
As for the space group: Fd-3m (227). The calculation puts the energy of formation at 0.084 eV/atom. The excess energy over the best structure of this formula in the dataset comes out at 0.17 eV per formula unit. As for the total energy: -4.06 eV/f.u. For the total magnetization, the calculation gives 0.00 Bohr magnetons per cell.

abc: 6.1286 6.1286 6.1286
angles: 60.00 60.00 60.00
Element x y z (fractional)
Hg: 0.5000 0.5000 0.5000
Hg: 0.0000 0.5000 0.0000
Hg: 0.5000 0.0000 0.0000
Hg: 0.5000 0.5000 0.0000
Pb: 0.8750 0.8750 0.3750
Pb: 0.1250 0.1250 0.6250

VASP calculation (PBE) on a geometry-optimized Hg4Pb3 structure.

## Properties
As for the space group: R-3m (166). The calculation puts the energy of formation at 0.072 eV/atom. The excess energy over the best structure of this formula in the dataset comes out at 0.19 eV per formula unit. As for the total energy: -11.83 eV/f.u. For the total magnetization, the calculation gives 0.00 Bohr magnetons per cell.

abc: 5.1304 5.1304 9.8680
angles: 74.93 74.93 60.00
Element x y z (fractional)
Hg: 0.3809 0.3809 0.8572
Hg: 0.1368 0.1368 0.5895
Hg: 0.8632 0.8632 0.4105
Hg: 0.6191 0.6191 0.1428
Pb: 0.7482 0.7482 0.7554
Pb: 0.2518 0.2518 0.2446
Pb: 0.0000 0.0000 0.0000

VASP calculation (PBE) on a geometry-optimized Hg3Pb structure.

## Properties
As for the space group: Pmm2 (25). The calculation puts the energy of formation at 0.043 eV/atom. As for the total energy: -4.44 eV/f.u. For the total magnetization, the calculation gives 0.00 Bohr magnetons per cell.

abc: 3.7082 5.1489 5.7471
angles: 90.00 90.00 90.00
Element x y z (fractional)
Pb: 0.0000 0.5000 0.3384
Hg: 0.0000 0.0000 0.9767
Hg: 0.5000 0.0000 0.5042
Hg: 0.5000 0.5000 0.8473

VASP calculation (PBE) on a geometry-optimized HgPb3 structure.

## Properties
As for the space group: Pm-3n (223). The calculation puts the energy of formation at 0.088 eV/atom. As for the total energy: -11.08 eV/f.u. For the total magnetization, the calculation gives 0.00 Bohr magnetons per cell.

abc: 6.2562 6.2562 6.2562
angles: 90.00 90.00 90.00
Element x y z (fractional)
Hg: 0.0000 0.0000 0.0000
Hg: 0.5000 0.5000 0.5000
Pb: 0.7500 0.5000 0.0000
Pb: 0.2500 0.5000 0.0000
Pb: 0.0000 0.7500 0.5000
Pb: 0.0000 0.2500 0.5000
Pb: 0.5000 0.0000 0.2500
Pb: 0.5000 0.0000 0.7500

VASP calculation (PBE) on a geometry-optimized HgPb4 structure.

## Properties
As for the space group: I4/mmm (139). The calculation puts the energy of formation at 0.132 eV/atom. The excess energy over the best structure of this formula in the dataset comes out at 0.63 eV per formula unit. As for the total energy: -14.48 eV/f.u. For the total magnetization, the calculation gives 0.00 Bohr magnetons per cell.

abc: 8.6809 8.6809 8.6809
angles: 149.17 149.17 44.16
Element x y z (fractional)
Hg: 0.0000 0.0000 0.0000
Pb: 0.7500 0.2500 0.5000
Pb: 0.2500 0.7500 0.5000
Pb: 0.6011 0.6011 0.0000
Pb: 0.3989 0.3989 0.0000

VASP calculation (PBE) on a geometry-optimized Hg5Pb3 structure.

## Properties
As for the space group: Cmmm (65). The calculation puts the energy of formation at 0.016 eV/atom. The excess energy over the best structure of this formula in the dataset comes out at 0.00 eV per formula unit. As for the total energy: -12.51 eV/f.u. For the total magnetization, the calculation gives 0.00 Bohr magnetons per cell.

abc: 3.5877 3.5877 17.7602
angles: 90.00 90.00 90.29
Element x y z (fractional)
Hg: 0.5000 0.5000 0.7373
Hg: 0.0000 0.0000 0.6186
Hg: 0.5000 0.5000 0.5000
Hg: 0.0000 0.0000 0.3814
Hg: 0.5000 0.5000 0.2627
Pb: 0.0000 0.0000 0.1361
Pb: 0.5000 0.5000 0.0000
Pb: 0.0000 0.0000 0.8639